Record 1
K3Ac2MnO6 | Alexandria via LeMat-Bulk | PBE+U | optimized geometry; final energy = -74.25 eV/f.u.; space-group type = C2/m, No. 12
1.0
6.326 -0.035 0.009
-3.192 5.462 0.009
-1.036 -1.794 6.292
O K Ac Mn
6 3 2 1
Direct
0.934 0.621 0.799
0.621 0.934 0.799
0.786 0.786 0.169
0.379 0.066 0.201
0.214 0.214 0.831
0.066 0.379 0.201
0.844 0.156 0.500
0.500 0.500 0.500
0.156 0.844 0.500
0.331 0.669 0.000
0.669 0.331 0.000
0.000 0.000 0.000



Record 2
KAcMn2O8 | Alexandria via LeMat-Bulk | PBE+U | optimized geometry; final energy = -77.11 eV/f.u.; space-group type = P-3, No. 147
1.0
5.888 0.000 0.000
-2.944 5.099 0.000
0.000 0.000 8.047
Mn O Ac K
2 8 1 1
Direct
0.333 0.667 0.778
0.667 0.333 0.222
0.643 0.812 0.706
0.831 0.643 0.294
0.169 0.357 0.706
0.333 0.667 0.979
0.188 0.831 0.706
0.812 0.169 0.294
0.667 0.333 0.021
0.357 0.188 0.294
0.000 0.000 0.500
0.000 0.000 0.000



Record 3
K2AcMnO4 | Alexandria via LeMat-Bulk | PBE+U | optimized geometry; final energy = -48.96 eV/f.u.; space-group type = P2/m, No. 10
1.0
3.683 0.000 0.000
0.000 5.950 0.062
0.000 -2.113 6.202
K Mn O Ac
2 1 4 1
Direct
0.500 0.000 0.500
0.000 0.500 0.500
0.000 0.000 0.000
0.000 0.784 0.175
0.500 0.779 0.800
0.000 0.216 0.825
0.500 0.221 0.200
0.500 0.500 0.000



Record 4
KAcMnO4 | Alexandria via LeMat-Bulk | PBE+U | optimized geometry; final energy = -46.35 eV/f.u.; space-group type = Cmcm, No. 63
1.0
6.180 -0.252 0.000
-2.713 5.558 0.000
0.000 0.000 7.473
K O Mn Ac
2 8 2 2
Direct
0.500 0.500 0.000
0.500 0.500 0.500
0.243 0.757 0.434
0.757 0.243 0.934
0.219 0.191 0.250
0.243 0.757 0.066
0.757 0.243 0.566
0.191 0.219 0.750
0.809 0.781 0.250
0.781 0.809 0.750
0.133 0.867 0.250
0.867 0.133 0.750
0.176 0.824 0.750
0.824 0.176 0.250



Q: Among the records above, which one has the highest final energy?
A: KAcMnO4



Q: Which of these has the highest final energy?
A: KAcMnO4